(1)
Computed, not measured: a relaxed Tb5CeRu3 crystal at the PBE level of DFT.

Output
As for the space group: C2/m, No. 12.

a b c (Å): 7.598 7.598 9.761
angles (deg): 105.08 105.08 73.09
Positions (direct):
1 Tb 0.034 0.034 0.348
2 Tb 0.119 0.507 0.350
3 Tb 0.195 0.805 0.000
4 Tb 0.264 0.264 0.956
5 Tb 0.493 0.881 0.650
6 Tb 0.507 0.119 0.350
7 Tb 0.736 0.736 0.044
8 Tb 0.805 0.195 0.000
9 Tb 0.881 0.493 0.650
10 Tb 0.966 0.966 0.652
11 Ce 0.419 0.419 0.713
12 Ce 0.581 0.581 0.287
13 Ru 0.160 0.160 0.166
14 Ru 0.211 0.211 0.623
15 Ru 0.500 0.500 0.000
16 Ru 0.500 0.500 0.500
17 Ru 0.789 0.789 0.377
18 Ru 0.840 0.840 0.834

(2)
Computed, not measured: a relaxed Tb5CeRu3 crystal at the PBE level of DFT.

Output
As for the space group: C2/m, No. 12.

a b c (Å): 6.462 6.462 12.385
angles (deg): 90.10 90.10 92.04
Positions (direct):
1 Tb 0.196 0.796 0.664
2 Tb 0.203 0.797 0.000
3 Tb 0.204 0.804 0.336
4 Tb 0.294 0.294 0.833
5 Tb 0.300 0.300 0.505
6 Tb 0.700 0.700 0.495
7 Tb 0.706 0.706 0.167
8 Tb 0.796 0.196 0.664
9 Tb 0.797 0.203 0.000
10 Tb 0.804 0.204 0.336
11 Ce 0.302 0.302 0.170
12 Ce 0.698 0.698 0.830
13 Ru 0.000 0.000 0.500
14 Ru 0.032 0.032 0.165
15 Ru 0.482 0.482 0.323
16 Ru 0.500 0.500 0.000
17 Ru 0.518 0.518 0.677
18 Ru 0.968 0.968 0.835

Among the structures above, stability is smallest for (1).